1.
# SmNi3Ge2

An optimized crystal structure of SmNi3Ge2 (GGA-PBE, Alexandria).

extended XYZ file:
```
18
Lattice="-2.7079 -2.6603 -0.8922 4.0900 1.0185 -6.9285 4.7369 -6.5218 5.0692" Properties=species:S:1:pos:R:3 pbc="T T T"
Sm 4.1750 -4.6690 1.2503
Sm 1.9440 -3.4946 -4.0017
Sm 0.0000 0.0000 0.0000
Ni 1.8901 -2.2734 1.0421
Ni 4.2289 -5.8902 -3.7936
Ni 3.0206 -2.6807 -1.1748
Ni 3.0983 -5.4830 -1.5767
Ni 0.2981 -2.7347 -1.2723
Ni 5.8209 -5.4290 -1.4791
Ni 1.0145 -4.5911 2.0885
Ni 1.9100 -0.3966 -4.6143
Ni 4.2090 -7.7670 1.8629
Ge 1.7063 -0.9697 -2.2871
Ge 4.4127 -7.1939 -0.4643
Ge 3.6296 -1.7595 -5.7697
Ge 2.4893 -6.4041 3.0182
Ge 4.5474 -3.7770 -2.5398
Ge 1.5716 -4.3867 -0.2117
```

Values from the calculation:
Size of the total moment: 0.0 μB/f.u.
SG: C2/m, No. 12
Density: 8.42 g cm⁻³
DFT total energy: -104.76 eV/cell
V: 279.0 Å³ per cell

2.
# Sm3Ni3Ge

An optimized crystal structure of Sm3Ni3Ge (GGA-PBE, Alexandria).

extended XYZ file:
```
14
Lattice="-0.8324 3.9725 -0.5412 -3.7202 1.8483 3.7986 9.3774 5.1882 8.1690" Properties=species:S:1:pos:R:3 pbc="T T T"
Sm 4.0969 5.8918 5.9653
Sm 0.7280 5.1172 5.4610
Sm 0.9517 2.6833 2.7420
Sm 3.8732 8.3257 8.6844
Sm 7.2690 6.8903 8.4149
Sm -2.4441 4.1188 3.0114
Ni 1.6187 7.5877 6.7350
Ni 3.2062 3.4213 4.6913
Ni 5.3512 6.8119 10.7892
Ni -0.5264 4.1972 0.6372
Ni -1.8349 6.5785 4.6390
Ni 6.6598 4.4305 6.7873
Ge 2.7462 5.2279 3.1691
Ge 2.0786 5.7812 8.2573
```

Values from the calculation:
Size of the total moment: 0.0 μB/f.u.
SG: C2/m, No. 12
Density: 8.13 g cm⁻³
DFT total energy: -79.02 eV/cell
V: 285.9 Å³ per cell

3.
# SmNi2Ge4

An optimized crystal structure of SmNi2Ge4 (GGA-PBE, Alexandria).

extended XYZ file:
```
28
Lattice="-3.0646 -2.3606 -1.3456 2.5115 -5.1427 3.3019 -9.5812 4.3884 14.1226" Properties=species:S:1:pos:R:3 pbc="T T T"
Sm -8.3598 0.8941 8.1212
Sm -1.7744 -4.0090 7.9577
Sm -7.6803 0.4687 13.5528
Sm -2.4540 -3.5837 2.5261
Ni -3.9952 -2.1077 9.6799
Ni -6.1391 -1.0073 6.3991
Ni -10.9270 1.1813 13.4640
Ni 0.7927 -4.2962 2.6150
Ni -5.8439 -2.2526 14.1446
Ni -4.2903 -0.8624 1.9343
Ni -7.8305 -1.2286 10.6396
Ni -2.3037 -1.8864 5.4394
Ge -6.7601 0.9516 10.6100
Ge -3.3742 -4.0666 5.4690
Ge -7.9063 -2.4017 12.8701
Ge -2.2280 -0.7132 3.2088
Ge -5.4818 -1.2485 11.5585
Ge -4.6525 -1.8664 4.5205
Ge -9.6646 0.7813 11.2906
Ge -0.4697 -3.8963 4.7884
Ge -5.4526 1.0072 7.5348
Ge -4.6817 -4.1221 8.5442
Ge -10.0371 -0.7714 14.8629
Ge -0.0971 -2.3436 1.2160
Ge -3.7187 -1.1586 7.3853
Ge -6.4156 -1.9563 8.6937
Ge -0.4641 -6.5276 3.1586
Ge -9.6702 3.4126 12.9203
```

Values from the calculation:
Size of the total moment: 0.0 μB/f.u.
SG: Pnma, No. 62
Density: 7.78 g cm⁻³
DFT total energy: -151.17 eV/cell
V: 476.9 Å³ per cell

4.
# Sm3Ni2Ge4

An optimized crystal structure of Sm3Ni2Ge4 (GGA-PBE, Alexandria).

extended XYZ file:
```
9
Lattice="-3.3046 -1.8321 -1.7812 4.1088 -3.9525 1.3411 -4.0700 0.3801 7.1600" Properties=species:S:1:pos:R:3 pbc="T T T"
Sm -3.5481 -2.2390 3.9873
Sm 0.0000 0.0000 0.0000
Sm 0.2822 -3.1656 2.7326
Ni -2.2771 -1.8438 1.2227
Ni -0.9889 -3.5608 5.4972
Ge -0.8688 -3.0168 -0.1835
Ge -2.3971 -2.3878 6.9033
Ge -2.0144 -4.9606 3.9413
Ge -1.2515 -0.4440 2.7786
```

Values from the calculation:
Size of the total moment: 0.0 μB/f.u.
SG: C2/m, No. 12
Density: 7.71 g cm⁻³
DFT total energy: -51.18 eV/cell
V: 185.0 Å³ per cell

- Number 3 is which compound?
  SmNi2Ge4

Please write out number 1 again, unchanged.
# SmNi3Ge2

An optimized crystal structure of SmNi3Ge2 (GGA-PBE, Alexandria).

extended XYZ file:
```
18
Lattice="-2.7079 -2.6603 -0.8922 4.0900 1.0185 -6.9285 4.7369 -6.5218 5.0692" Properties=species:S:1:pos:R:3 pbc="T T T"
Sm 4.1750 -4.6690 1.2503
Sm 1.9440 -3.4946 -4.0017
Sm 0.0000 0.0000 0.0000
Ni 1.8901 -2.2734 1.0421
Ni 4.2289 -5.8902 -3.7936
Ni 3.0206 -2.6807 -1.1748
Ni 3.0983 -5.4830 -1.5767
Ni 0.2981 -2.7347 -1.2723
Ni 5.8209 -5.4290 -1.4791
Ni 1.0145 -4.5911 2.0885
Ni 1.9100 -0.3966 -4.6143
Ni 4.2090 -7.7670 1.8629
Ge 1.7063 -0.9697 -2.2871
Ge 4.4127 -7.1939 -0.4643
Ge 3.6296 -1.7595 -5.7697
Ge 2.4893 -6.4041 3.0182
Ge 4.5474 -3.7770 -2.5398
Ge 1.5716 -4.3867 -0.2117
```

Values from the calculation:
Size of the total moment: 0.0 μB/f.u.
SG: C2/m, No. 12
Density: 8.42 g cm⁻³
DFT total energy: -104.76 eV/cell
V: 279.0 Å³ per cell

- Among the records above, which one has the lowest density?
  Sm3Ni2Ge4